Computed, not measured: a geometry-optimized NdHgRh2 structure at the PBE level of DFT.

## Properties
magnetic moment	0.00	μB/f.u.
energy	-21.5	eV/f.u.

Cell lengths 4.473, 4.473, 3.826 Å; angles 90.00, 90.00, 90.00 degrees
Element x y z (fractional)
Nd (0.000, 0.000, 0.000)
Hg (0.500, 0.500, 0.000)
Rh (0.000, 0.500, 0.500)
Rh (0.500, 0.000, 0.500)